Record 1
A plane-wave DFT calculation with PBE-GGA was carried out for ScPW2 after structural relaxation.

```
data_ScPW2
_chemical_formula_sum 'Sc2 P2 W4'
_symmetry_space_group_name_H-M 'C 1 m 1'
_symmetry_Int_Tables_number 8
_cell_length_a 9.318
_cell_length_b 3.300
_cell_length_c 5.095
_cell_angle_alpha 90.00
_cell_angle_beta 122.07
_cell_angle_gamma 90.00
loop_
_symmetry_equiv_pos_as_xyz
'x,y,z'
'x,-y,z'
'x+1/2,y+1/2,z'
'x+1/2,-y+1/2,z'
loop_
_atom_site_label
_atom_site_fract_x
_atom_site_fract_y
_atom_site_fract_z
Sc1 0.000 0.000 0.000
P1 0.214 0.500 0.427
W1 0.213 0.000 0.778
W2 0.413 0.000 0.405
```

Calculated values
- Calculated density: 11.097 Mg/m³
- Crystal system: monoclinic
- Size of the total moment: 0.00 μB per formula unit
- DOS(E_F): 4.683 states/eV/cell
- DFT formation energy: -0.41 eV/f.u.

Record 2
A plane-wave DFT calculation with PBE-GGA was carried out for ScPW2 after structural relaxation.

```
data_ScPW2
_chemical_formula_sum 'Sc2 P2 W4'
_symmetry_space_group_name_H-M 'A m m 2'
_symmetry_Int_Tables_number 38
_cell_length_a 4.308
_cell_length_b 3.197
_cell_length_c 9.617
_cell_angle_alpha 90.00
_cell_angle_beta 90.00
_cell_angle_gamma 90.00
loop_
_symmetry_equiv_pos_as_xyz
'x,y,z'
'-x,-y,z'
'-x,y,z'
'x,-y,z'
'x,y+1/2,z+1/2'
'-x,-y+1/2,z+1/2'
'-x,y+1/2,z+1/2'
'x,-y+1/2,z+1/2'
loop_
_atom_site_label
_atom_site_fract_x
_atom_site_fract_y
_atom_site_fract_z
Sc1 0.000 0.000 0.000
P1 0.500 0.000 0.425
W1 0.000 0.000 0.265
W2 0.500 0.000 0.715
```

Calculated values
- Calculated density: 11.126 Mg/m³
- Crystal system: orthorhombic
- Size of the total moment: 0.00 μB per formula unit
- DOS(E_F): 2.384 states/eV/cell
- DFT formation energy: -0.68 eV/f.u.

Record 3
A plane-wave DFT calculation with PBE-GGA was carried out for Sc2PW after structural relaxation.

```
data_Sc2PW
_chemical_formula_sum 'Sc2 P1 W1'
_symmetry_space_group_name_H-M 'P 4/m m m'
_symmetry_Int_Tables_number 123
_symmetry_space_group_name_Hall '-P 4 2'
_cell_length_a 2.970
_cell_length_b 2.970
_cell_length_c 8.048
_cell_angle_alpha 90.00
_cell_angle_beta 90.00
_cell_angle_gamma 90.00
loop_
_atom_site_label
_atom_site_fract_x
_atom_site_fract_y
_atom_site_fract_z
Sc1 0.000 0.000 0.225
P1 0.500 0.500 0.000
W1 0.500 0.500 0.500
```

Calculated values
- Calculated density: 7.126 Mg/m³
- Crystal system: tetragonal
- Size of the total moment: 0.00 μB per formula unit
- DOS(E_F): 2.827 states/eV/cell
- DFT formation energy: -0.84 eV/f.u.

Record 4
A plane-wave DFT calculation with PBE-GGA was carried out for ScPW2 after structural relaxation.

```
data_ScPW2
_chemical_formula_sum 'Sc1 P1 W2'
_symmetry_space_group_name_H-M 'P m m m'
_symmetry_Int_Tables_number 47
_cell_length_a 3.417
_cell_length_b 4.228
_cell_length_c 4.433
_cell_angle_alpha 90.00
_cell_angle_beta 90.00
_cell_angle_gamma 90.00
loop_
_symmetry_equiv_pos_as_xyz
'x,y,z'
'-x,-y,-z'
'-x,-y,z'
'x,y,-z'
'x,-y,-z'
'-x,y,z'
'-x,y,-z'
'x,-y,z'
loop_
_atom_site_label
_atom_site_fract_x
_atom_site_fract_y
_atom_site_fract_z
Sc1 0.000 0.000 0.000
P1 0.500 0.500 0.000
W1 0.000 0.500 0.500
W2 0.500 0.000 0.500
```

Calculated values
- Calculated density: 11.501 Mg/m³
- Crystal system: orthorhombic
- Size of the total moment: 0.00 μB per formula unit
- DOS(E_F): 2.694 states/eV/cell
- DFT formation energy: 0.12 eV/f.u.

Record 5
A plane-wave DFT calculation with PBE-GGA was carried out for ScP2W after structural relaxation.

```
data_ScP2W
_chemical_formula_sum 'Sc4 P8 W4'
_symmetry_space_group_name_H-M 'I -4 2 d'
_symmetry_Int_Tables_number 122
_symmetry_space_group_name_Hall 'I -4 2bw'
_cell_length_a 5.595
_cell_length_b 5.595
_cell_length_c 11.525
_cell_angle_alpha 90.00
_cell_angle_beta 90.00
_cell_angle_gamma 90.00
loop_
_atom_site_label
_atom_site_fract_x
_atom_site_fract_y
_atom_site_fract_z
Sc1 0.000 0.000 0.000
P1 0.212 0.250 0.625
W1 0.000 0.000 0.500
```

Calculated values
- Calculated density: 5.352 Mg/m³
- Crystal system: tetragonal
- Size of the total moment: 0.00 μB per formula unit
- DOS(E_F): 12.693 states/eV/cell
- DFT formation energy: -0.72 eV/f.u.

Record 6
A plane-wave DFT calculation with PBE-GGA was carried out for ZrScPW2 after structural relaxation.

```
data_ZrScPW2
_chemical_formula_sum 'Zr1 Sc1 P1 W2'
_symmetry_space_group_name_H-M 'P 4/m m m'
_symmetry_Int_Tables_number 123
_symmetry_space_group_name_Hall '-P 4 2'
_cell_length_a 4.527
_cell_length_b 4.527
_cell_length_c 4.853
_cell_angle_alpha 90.00
_cell_angle_beta 90.00
_cell_angle_gamma 90.00
loop_
_atom_site_label
_atom_site_fract_x
_atom_site_fract_y
_atom_site_fract_z
Zr1 0.000 0.000 0.000
Sc1 0.500 0.500 0.000
P1 0.000 0.000 0.500
W1 0.000 0.500 0.500
```

Calculated values
- Calculated density: 8.931 Mg/m³
- Crystal system: tetragonal
- Size of the total moment: 0.00 μB per formula unit
- DOS(E_F): 4.738 states/eV/cell
- DFT formation energy: 1.25 eV/f.u.

Record 7
A plane-wave DFT calculation with PBE-GGA was carried out for YScP after structural relaxation.

```
data_YScP
_chemical_formula_sum 'Y1 Sc1 P1'
_symmetry_space_group_name_H-M 'P 3 m 1'
_symmetry_Int_Tables_number 156
_cell_length_a 3.7950
_cell_length_b 3.7950
_cell_length_c 6.0663
_cell_angle_alpha 90.00
_cell_angle_beta 90.00
_cell_angle_gamma 120.00
loop_
_symmetry_equiv_pos_as_xyz
'x,y,z'
'-y,x-y,z'
'-x+y,-x,z'
'-y,-x,z'
'-x+y,y,z'
'x,x-y,z'
loop_
_atom_site_label
_atom_site_fract_x
_atom_site_fract_y
_atom_site_fract_z
Y1 0.0000 0.0000 0.0000
Sc1 0.3333 0.6667 0.5023
P1 0.6667 0.3333 0.2748
```

Calculated values
- Calculated density: 3.618 Mg/m³
- Crystal system: trigonal
- Size of the total moment: 0.02 μB per formula unit
- DOS(E_F): 3.086 states/eV/cell
- DFT formation energy: -2.82 eV/f.u.

Record 8
A plane-wave DFT calculation with PBE-GGA was carried out for YSc2P after structural relaxation.

```
data_YSc2P
_chemical_formula_sum 'Y4 Sc8 P4'
_symmetry_space_group_name_H-M 'F -4 3 m'
_symmetry_Int_Tables_number 216
_symmetry_space_group_name_Hall 'F -4 2 3'
_cell_length_a 6.943
_cell_length_b 6.943
_cell_length_c 6.943
_cell_angle_alpha 90.00
_cell_angle_beta 90.00
_cell_angle_gamma 90.00
loop_
_atom_site_label
_atom_site_fract_x
_atom_site_fract_y
_atom_site_fract_z
Y1 0.000 0.000 0.000
Sc1 0.000 0.000 0.500
Sc2 0.250 0.250 0.250
P1 0.250 0.250 0.750
```

Calculated values
- Calculated density: 4.164 Mg/m³
- Crystal system: cubic
- Size of the total moment: 0.00 μB per formula unit
- DOS(E_F): 12.414 states/eV/cell
- DFT formation energy: -0.56 eV/f.u.

Record 9
A plane-wave DFT calculation with PBE-GGA was carried out for YScP after structural relaxation.

```
data_YScP
_chemical_formula_sum 'Y8 Sc8 P8'
_symmetry_space_group_name_H-M 'C m c e'
_symmetry_Int_Tables_number 64
_symmetry_space_group_name_Hall '-C 2ac 2'
_cell_length_a 8.421
_cell_length_b 9.964
_cell_length_c 6.991
_cell_angle_alpha 90.00
_cell_angle_beta 90.00
_cell_angle_gamma 90.00
loop_
_atom_site_label
_atom_site_fract_x
_atom_site_fract_y
_atom_site_fract_z
Y1 0.210 0.000 0.000
Sc1 0.000 0.207 0.334
P1 0.000 0.055 0.702
```

Calculated values
- Calculated density: 3.733 Mg/m³
- Crystal system: orthorhombic
- Size of the total moment: 0.00 μB per formula unit
- DOS(E_F): 27.628 states/eV/cell
- DFT formation energy: -2.52 eV/f.u.

Record 10
A plane-wave DFT calculation with PBE-GGA was carried out for YScP2 after structural relaxation.

```
data_YScP2
_chemical_formula_sum 'Y1 Sc1 P2'
_symmetry_space_group_name_H-M 'P m m m'
_symmetry_Int_Tables_number 47
_cell_length_a 3.563
_cell_length_b 4.122
_cell_length_c 5.470
_cell_angle_alpha 90.00
_cell_angle_beta 90.00
_cell_angle_gamma 90.00
loop_
_symmetry_equiv_pos_as_xyz
'x,y,z'
'-x,-y,-z'
'-x,-y,z'
'x,y,-z'
'x,-y,-z'
'-x,y,z'
'-x,y,-z'
'x,-y,z'
loop_
_atom_site_label
_atom_site_fract_x
_atom_site_fract_y
_atom_site_fract_z
Y1 0.000 0.000 0.000
Sc1 0.000 0.500 0.500
P1 0.500 0.000 0.500
P2 0.500 0.500 0.000
```

Calculated values
- Calculated density: 4.047 Mg/m³
- Crystal system: orthorhombic
- Size of the total moment: 0.00 μB per formula unit
- DOS(E_F): 1.233 states/eV/cell
- DFT formation energy: -4.26 eV/f.u.

Record 11
A plane-wave DFT calculation with PBE-GGA was carried out for YScP2 after structural relaxation.

```
data_YScP2
_chemical_formula_sum 'Y2 Sc2 P4'
_symmetry_space_group_name_H-M 'I m m 2'
_symmetry_Int_Tables_number 44
_cell_length_a 3.571
_cell_length_b 3.623
_cell_length_c 13.164
_cell_angle_alpha 90.00
_cell_angle_beta 90.00
_cell_angle_gamma 90.00
loop_
_symmetry_equiv_pos_as_xyz
'x,y,z'
'-x,-y,z'
'-x,y,z'
'x,-y,z'
'x+1/2,y+1/2,z+1/2'
'-x+1/2,-y+1/2,z+1/2'
'-x+1/2,y+1/2,z+1/2'
'x+1/2,-y+1/2,z+1/2'
loop_
_atom_site_label
_atom_site_fract_x
_atom_site_fract_y
_atom_site_fract_z
Y1 0.000 0.000 0.000
Sc1 0.000 0.500 0.750
P1 0.000 0.000 0.405
P2 0.000 0.500 0.170
```

Calculated values
- Calculated density: 3.818 Mg/m³
- Crystal system: orthorhombic
- Size of the total moment: 0.00 μB per formula unit
- DOS(E_F): 0.540 states/eV/cell
- DFT formation energy: -4.80 eV/f.u.

Record 12
A plane-wave DFT calculation with PBE-GGA was carried out for Y3ScP after structural relaxation.

```
data_Y3ScP
_chemical_formula_sum 'Y3 Sc1 P1'
_symmetry_space_group_name_H-M 'P m -3 m'
_symmetry_Int_Tables_number 221
_symmetry_space_group_name_Hall '-P 4 2 3'
_cell_length_a 5.343
_cell_length_b 5.343
_cell_length_c 5.343
_cell_angle_alpha 90.00
_cell_angle_beta 90.00
_cell_angle_gamma 90.00
loop_
_atom_site_label
_atom_site_fract_x
_atom_site_fract_y
_atom_site_fract_z
Y1 0.000 0.000 0.500
Sc1 0.500 0.500 0.500
P1 0.000 0.000 0.000
```

Calculated values
- Calculated density: 3.731 Mg/m³
- Crystal system: cubic
- Size of the total moment: 2.08 μB per formula unit
- DOS(E_F): 8.705 states/eV/cell
- DFT formation energy: -1.94 eV/f.u.